Record 1
DFT (PBE) results for an optimized crystal structure of Si3C.

Calculated values
Symmetry: Fm-3m (225)
Relative energy among the computed polymorphs, eV/atom: 1.253
Size of the total moment, μB per formula unit: 0.0

The structure in extended XYZ format:
```
16
Lattice="5.8508 0.0000 0.0000 0.0000 5.8508 0.0000 0.0000 0.0000 5.8508" Properties=species:S:1:pos:R:3 pbc="T T T"
Si 0.0000 0.0000 0.0000
Si 0.0000 2.9254 2.9254
Si 1.4627 1.4627 1.4627
Si 1.4627 1.4627 4.3881
Si 1.4627 4.3881 1.4627
Si 1.4627 4.3881 4.3881
Si 2.9254 0.0000 2.9254
Si 2.9254 2.9254 0.0000
Si 4.3881 1.4627 1.4627
Si 4.3881 1.4627 4.3881
Si 4.3881 4.3881 1.4627
Si 4.3881 4.3881 4.3881
C 0.0000 0.0000 2.9254
C 0.0000 2.9254 0.0000
C 2.9254 0.0000 0.0000
C 2.9254 2.9254 2.9254
```

***

Record 2
DFT (PBE) results for an optimized crystal structure of KPd2Au.

Calculated values
Symmetry: I-42d (122)
Formation enthalpy at 0 K, eV/f.u.: 0.85
Size of the total moment, μB per formula unit: 0.0

The structure in extended XYZ format:
```
16
Lattice="4.8826 0.0000 0.0000 0.0000 4.8826 0.0000 0.0000 0.0000 18.7070" Properties=species:S:1:pos:R:3 pbc="T T T"
K 0.0000 0.0000 0.0000
K 0.0000 2.4413 4.6768
K 2.4413 0.0000 14.0303
K 2.4413 2.4413 9.3535
Pd 0.3964 1.2207 11.6919
Pd 1.2207 2.8377 16.3686
Pd 1.2207 4.4862 7.0151
Pd 2.0449 1.2207 2.3384
Pd 2.8377 3.6620 2.3384
Pd 3.6620 0.3964 7.0151
Pd 3.6620 2.0449 16.3686
Pd 4.4862 3.6620 11.6919
Au 0.0000 0.0000 9.3535
Au 0.0000 2.4413 14.0303
Au 2.4413 0.0000 4.6768
Au 2.4413 2.4413 0.0000
```